Record 1
DFT (PBE-GGA) results for Na3TeH after structural relaxation.

The space group is P2_1/m (No. 11) and the conventional cell measures 4.977, 6.746 and 7.038 Å, with angles of 90.00, 90.06 and 90.00 degrees. Symmetry generates all atoms from Na at (0.000, 0.000, 0.000), Na at (0.000, 0.250, 0.459), Na at (0.500, 0.250, 0.766), Te at (0.500, 0.250, 0.225) and H at (0.000, 0.250, 0.767).

For the uncorrected energy, the calculation gives -2.668 eV/atom. As for the crystal system: monoclinic.

=====

Record 2
DFT (PBE-GGA) results for SrMgMo2 after structural relaxation.

The space group is Immm (No. 71) and the conventional cell measures 3.170, 4.831 and 10.692 Å, with angles of 90.00, 90.00 and 90.00 degrees. Symmetry generates all atoms from Sr at (0.000, 0.000, 0.000), Mg at (0.000, 0.000, 0.500) and Mo at (0.000, 0.500, 0.236).

As for the crystal system: orthorhombic. The formation energy from the elements comes out at 936 meV per atom.

=====

Record 3
DFT (PBE-GGA) results for K2TlSn after structural relaxation.

The space group is R-3m (No. 166, hexagonal axes) and the conventional cell measures 3.6953, 3.6953 and 38.7412 Å, with angles of 90.00, 90.00 and 120.00 degrees. Symmetry generates all atoms from K at (0.0000, 0.0000, 0.0888), Tl at (0.0000, 0.0000, 0.5000) and Sn at (0.0000, 0.0000, 0.0000).

As for the crystal system: trigonal. The formation energy from the elements comes out at 177 meV per atom.

=====

Record 4
DFT (PBE-GGA) results for LiTmCoPb after structural relaxation.

The space group is F-43m (No. 216) and the conventional cell measures 6.598, 6.598 and 6.598 Å, with angles of 90.00, 90.00 and 90.00 degrees. Symmetry generates all atoms from Li at (0.000, 0.000, 0.000), Tm at (0.250, 0.250, 0.250), Co at (0.000, 0.000, 0.500) and Pb at (0.250, 0.250, 0.750).

As for the crystal system: cubic. The formation energy from the elements comes out at -198 meV per atom.

=====

Record 5
DFT (PBE-GGA) results for K2Cu2AgF6 after structural relaxation.

The space group is C2/m (No. 12) and the conventional cell measures 11.121, 6.137 and 6.246 Å, with angles of 90.00, 115.76 and 90.00 degrees. Symmetry generates all atoms from K at (0.217, 0.000, 0.167), Cu at (0.057, 0.500, 0.239), Ag at (0.000, 0.000, 0.500), F at (0.070, 0.266, 0.815) and F at (0.243, 0.500, 0.374).

Its energy relative to the elements, uncorrected is -1.7567 eV/atom. As for the crystal system: monoclinic.

=====

Record 6
DFT (PBE-GGA) results for La2Sb3Pd4Au after structural relaxation.

The space group is P-4m2 (No. 115) and the conventional cell measures 4.603, 4.603 and 10.701 Å, with angles of 90.00, 90.00 and 90.00 degrees. Symmetry generates all atoms from La at (0.000, 0.500, 0.248), Sb at (0.000, 0.500, 0.870), Sb at (0.500, 0.500, 0.500), Pd at (0.000, 0.000, 0.000), Pd at (0.000, 0.500, 0.630), Pd at (0.500, 0.500, 0.000) and Au at (0.000, 0.000, 0.500).

Its energy relative to the elements, uncorrected is -0.8433 eV/atom. As for the crystal system: tetragonal.

=====

Record 7
DFT (PBE-GGA) results for Na2BiBPO7 after structural relaxation.

The space group is P2_1/m (No. 11) and the conventional cell measures 5.477, 6.997 and 9.536 Å, with angles of 90.00, 90.63 and 90.00 degrees. Symmetry generates all atoms from Na at (0.227, 0.007, 0.213), Bi at (0.313, 0.250, 0.623), B at (0.278, 0.250, 0.905), P at (0.245, 0.750, 0.599), O at (0.028, 0.250, 0.369), O at (0.064, 0.250, 0.824), O at (0.248, 0.250, 0.046), O at (0.278, 0.750, 0.434), O at (0.383, 0.573, 0.660) and O at (0.495, 0.250, 0.833).

Its energy relative to the elements, uncorrected is -1.9151 eV/atom. As for the crystal system: monoclinic.

=====

Record 8
DFT (PBE-GGA) results for KCdMo3 after structural relaxation.

The space group is Pm-3m (No. 221) and the conventional cell measures 5.070, 5.070 and 5.070 Å, with angles of 90.00, 90.00 and 90.00 degrees. Symmetry generates all atoms from K at (0.000, 0.000, 0.000), Cd at (0.500, 0.500, 0.500) and Mo at (0.000, 0.500, 0.500).

As for the crystal system: cubic. The formation energy from the elements comes out at 2639 meV per atom.

=====

Record 9
DFT (PBE-GGA) results for La2TmAs4Rh3 after structural relaxation.

The space group is P-4m2 (No. 115) and the conventional cell measures 4.358, 4.358 and 10.854 Å, with angles of 90.00, 90.00 and 90.00 degrees. Symmetry generates all atoms from La at (0.000, 0.500, 0.224), Tm at (0.000, 0.000, 0.500), As at (0.000, 0.000, 0.000), As at (0.000, 0.500, 0.659), As at (0.500, 0.500, 0.000), Rh at (0.000, 0.500, 0.890) and Rh at (0.500, 0.500, 0.500).

As for the crystal system: tetragonal. The formation energy from the elements comes out at -1043 meV per atom.

=====

Record 10
DFT (PBE-GGA) results for Sr2Ga2Si after structural relaxation.

The space group is Amm2 (No. 38) and the conventional cell measures 4.473, 4.118 and 14.695 Å, with angles of 90.00, 90.00 and 90.00 degrees. Symmetry generates all atoms from Sr at (0.000, 0.000, 0.000), Sr at (0.000, 0.000, 0.248), Ga at (0.500, 0.000, 0.417), Ga at (0.500, 0.000, 0.627) and Si at (0.500, 0.000, 0.824).

Its energy relative to the elements, uncorrected is -0.3594 eV/atom. As for the crystal system: orthorhombic.

=====

Record 11
DFT (PBE-GGA) results for Tb4Ce9Tl11 after structural relaxation.

The space group is Cmmm (No. 65) and the conventional cell measures 18.581, 21.533 and 3.425 Å, with angles of 90.00, 90.00 and 90.00 degrees. Symmetry generates all atoms from Tb at (0.142, 0.086, 0.000), Ce at (0.000, 0.000, 0.000), Ce at (0.116, 0.245, 0.000), Ce at (0.124, 0.415, 0.000), Tl at (0.000, 0.141, 0.500), Tl at (0.000, 0.335, 0.500), Tl at (0.000, 0.500, 0.500), Tl at (0.244, 0.500, 0.500) and Tl at (0.246, 0.327, 0.500).

As for the crystal system: orthorhombic. The formation energy from the elements comes out at -203 meV per atom.

=====

Record 12
DFT (PBE-GGA) results for CoCu4As after structural relaxation.

The space group is F-43m (No. 216) and the conventional cell measures 6.814, 6.814 and 6.814 Å, with angles of 90.00, 90.00 and 90.00 degrees. Symmetry generates all atoms from Co at (0.000, 0.000, 0.000), Cu at (0.125, 0.125, 0.625) and As at (0.250, 0.250, 0.250).

As for the crystal system: cubic. The formation energy from the elements comes out at 300 meV per atom.